[1]
Computed, not measured: a crystal of BaAs3 relaxed with PBEsol at the SCAN level of DFT.

Output
energy of formation from the pure elements	-0.275	eV/atom

Structure (CIF):
```
data_BaAs3
_chemical_formula_sum 'Ba4 As12'
_cell_length_a 8.053
_cell_length_b 17.487
_cell_length_c 4.273
_cell_angle_alpha 90.00
_cell_angle_beta 90.00
_cell_angle_gamma 90.00
_space_group_name_H-M_alt 'C m c m'
_space_group_IT_number 63
_space_group_name_Hall '-C 2c 2'
loop_
_atom_site_label
_atom_site_type_symbol
_atom_site_fract_x
_atom_site_fract_y
_atom_site_fract_z
_atom_site_occupancy
Ba1 Ba 0.000 0.232 0.250 1
As1 As 0.000 0.419 0.250 1
As2 As 0.150 0.362 0.750 1
```



[2]
Computed, not measured: a crystal of Tc2PtSe relaxed with PBEsol at the SCAN level of DFT.

Output
E_form (uncorrected)	0.20	eV/atom

Structure (CIF):
```
data_Tc2PtSe
_chemical_formula_sum 'Tc2 Pt1 Se1'
_cell_length_a 2.954
_cell_length_b 3.911
_cell_length_c 5.287
_cell_angle_alpha 90.00
_cell_angle_beta 105.20
_cell_angle_gamma 90.00
_space_group_name_H-M_alt 'P 1 2/m 1'
_space_group_IT_number 10
_space_group_name_Hall '-P 2y'
loop_
_atom_site_label
_atom_site_type_symbol
_atom_site_fract_x
_atom_site_fract_y
_atom_site_fract_z
_atom_site_occupancy
Tc1 Tc 0.128 0.000 0.260 1
Pt1 Pt 0.500 0.500 0.000 1
Se1 Se 0.500 0.500 0.500 1
```



[3]
Computed, not measured: a crystal of CrOs2Ru relaxed with PBEsol at the SCAN level of DFT.

Output
energy of formation from the pure elements	0.442	eV/atom
ΔE to the lowest computed polymorph	0.060	eV/atom

Structure (CIF):
```
data_CrOs2Ru
_chemical_formula_sum 'Cr4 Os8 Ru4'
_cell_length_a 6.001
_cell_length_b 6.001
_cell_length_c 6.001
_cell_angle_alpha 90.00
_cell_angle_beta 90.00
_cell_angle_gamma 90.00
_space_group_name_H-M_alt 'F -4 3 m'
_space_group_IT_number 216
_space_group_name_Hall 'F -4 2 3'
loop_
_atom_site_label
_atom_site_type_symbol
_atom_site_fract_x
_atom_site_fract_y
_atom_site_fract_z
_atom_site_occupancy
Cr1 Cr 0.000 0.000 0.000 1
Os1 Os 0.000 0.000 0.500 1
Os2 Os 0.250 0.250 0.250 1
Ru1 Ru 0.250 0.250 0.750 1
```



[4]
Computed, not measured: a crystal of AsPb2 relaxed with PBEsol at the SCAN level of DFT.

Output
energy of formation from the pure elements	0.049	eV/atom
ΔE to the lowest computed polymorph	0.027	eV/atom

Structure (CIF):
```
data_AsPb2
_chemical_formula_sum 'As4 Pb8'
_cell_length_a 4.205
_cell_length_b 12.256
_cell_length_c 6.347
_cell_angle_alpha 90.00
_cell_angle_beta 90.00
_cell_angle_gamma 90.00
_space_group_name_H-M_alt 'C m c 21'
_space_group_IT_number 36
_space_group_name_Hall 'C 2c -2'
loop_
_atom_site_label
_atom_site_type_symbol
_atom_site_fract_x
_atom_site_fract_y
_atom_site_fract_z
_atom_site_occupancy
As1 As 0.000 0.137 0.000 1
Pb1 Pb 0.000 0.196 0.495 1
Pb2 Pb 0.000 0.498 0.244 1
```



[5]
Computed, not measured: a crystal of SrMnAg3 relaxed with PBEsol at the SCAN level of DFT.

Output
energy of formation from the pure elements	1.211	eV/atom

Structure (CIF):
```
data_SrMnAg3
_chemical_formula_sum 'Sr1 Mn1 Ag3'
_cell_length_a 5.442
_cell_length_b 5.442
_cell_length_c 5.442
_cell_angle_alpha 90.00
_cell_angle_beta 90.00
_cell_angle_gamma 90.00
_space_group_name_H-M_alt 'P m -3 m'
_space_group_IT_number 221
_space_group_name_Hall '-P 4 2 3'
loop_
_atom_site_label
_atom_site_type_symbol
_atom_site_fract_x
_atom_site_fract_y
_atom_site_fract_z
_atom_site_occupancy
Sr1 Sr 0.000 0.000 0.000 1
Mn1 Mn 0.500 0.500 0.500 1
Ag1 Ag 0.000 0.000 0.500 1
```



[6]
Computed, not measured: a crystal of LaInTc2Au relaxed with PBEsol at the SCAN level of DFT.

Output
energy of formation from the pure elements	1.069	eV/atom

Structure (CIF):
```
data_LaInTc2Au
_chemical_formula_sum 'La1 In1 Tc2 Au1'
_cell_length_a 4.932
_cell_length_b 4.932
_cell_length_c 5.370
_cell_angle_alpha 90.00
_cell_angle_beta 90.00
_cell_angle_gamma 90.00
_space_group_name_H-M_alt 'P 4/m m m'
_space_group_IT_number 123
_space_group_name_Hall '-P 4 2'
loop_
_atom_site_label
_atom_site_type_symbol
_atom_site_fract_x
_atom_site_fract_y
_atom_site_fract_z
_atom_site_occupancy
La1 La 0.000 0.000 0.000 1
In1 In 0.500 0.500 0.000 1
Tc1 Tc 0.000 0.500 0.500 1
Au1 Au 0.000 0.000 0.500 1
```



[7]
Computed, not measured: a crystal of LiTaW relaxed with PBEsol at the SCAN level of DFT.

Output
energy of formation from the pure elements	0.457	eV/atom

Structure (CIF):
```
data_LiTaW
_chemical_formula_sum 'Li1 Ta1 W1'
_cell_length_a 2.7602
_cell_length_b 2.7602
_cell_length_c 7.5695
_cell_angle_alpha 90.00
_cell_angle_beta 90.00
_cell_angle_gamma 120.00
_space_group_name_H-M_alt 'P 3 m 1'
_space_group_IT_number 156
_space_group_name_Hall 'P 3 -2"'
loop_
_atom_site_label
_atom_site_type_symbol
_atom_site_fract_x
_atom_site_fract_y
_atom_site_fract_z
_atom_site_occupancy
Li1 Li 0.0000 0.0000 0.0000 1
Ta1 Ta 0.3333 0.6667 0.6566 1
W1 W 0.6667 0.3333 0.3260 1
```



[8]
Computed, not measured: a crystal of TePt2Rh relaxed with PBEsol at the SCAN level of DFT.

Output
E_form (uncorrected)	0.08	eV/atom
ΔE to the lowest computed polymorph	0.061	eV/atom

Structure (CIF):
```
data_TePt2Rh
_chemical_formula_sum 'Te2 Pt4 Rh2'
_cell_length_a 4.074
_cell_length_b 4.074
_cell_length_c 7.824
_cell_angle_alpha 90.00
_cell_angle_beta 90.00
_cell_angle_gamma 90.00
_space_group_name_H-M_alt 'I -4 m 2'
_space_group_IT_number 119
_space_group_name_Hall 'I -4 -2'
loop_
_atom_site_label
_atom_site_type_symbol
_atom_site_fract_x
_atom_site_fract_y
_atom_site_fract_z
_atom_site_occupancy
Te1 Te 0.000 0.000 0.000 1
Pt1 Pt 0.000 0.000 0.500 1
Pt2 Pt 0.000 0.500 0.250 1
Rh1 Rh 0.000 0.500 0.750 1
```



DFT total energy, respectively: -25.3057, -39.8944, -48.8009, -57.2025, -25.7153, -42.0846, -45.7638, -52.7685 eV per atom.